Record 1
Density functional theory data (PBE-GGA) for K2SrI4 after structural relaxation.

extended XYZ file:
```
14
Lattice="6.4096 0.0000 0.0000 0.0000 6.4096 0.0000 0.0000 0.0000 18.1306" Properties=species:S:1:pos:R:3 pbc="T T T"
K 0.0000 0.0000 2.4677
K 0.0000 0.0000 15.6629
K 3.2048 3.2048 6.5976
K 3.2048 3.2048 11.5330
Sr 0.0000 0.0000 9.0653
Sr 3.2048 3.2048 0.0000
I 0.0000 0.0000 5.8511
I 0.0000 0.0000 12.2795
I 0.0000 3.2048 0.0000
I 0.0000 3.2048 9.0653
I 3.2048 0.0000 0.0000
I 3.2048 0.0000 9.0653
I 3.2048 3.2048 3.2142
I 3.2048 3.2048 14.9164
```

Values from the calculation:
Space group = No. 139
Energy = -2.93 eV/atom
Density = 3.00 g cm⁻³
Total moment = 0.00 μB per cell

Record 2
Density functional theory data (PBE-GGA) for KSrI2 after structural relaxation.

extended XYZ file:
```
4
Lattice="4.2018 0.0000 0.0000 0.0000 4.2018 0.0000 0.0000 0.0000 8.7025" Properties=species:S:1:pos:R:3 pbc="T T T"
K 0.0000 0.0000 0.0000
Sr 0.0000 0.0000 4.3513
I 2.1009 2.1009 2.3503
I 2.1009 2.1009 6.3522
```

Values from the calculation:
Space group = No. 123
Energy = -2.63 eV/atom
Density = 4.11 g cm⁻³
Total moment = 0.44 μB per cell

Record 3
Density functional theory data (PBE-GGA) for K2Sr5I12 after structural relaxation.

extended XYZ file:
```
19
Lattice="9.1099 -4.6318 0.0000 9.1099 4.6318 0.0000 -3.5084 0.0000 10.8763" Properties=species:S:1:pos:R:3 pbc="T T T"
K 9.1099 2.3359 0.0000
K 9.1099 -2.3359 0.0000
Sr -1.7542 0.0000 5.4381
Sr 4.7323 0.0000 0.2875
Sr 2.8536 0.0000 6.5445
Sr 11.8578 0.0000 4.3318
Sr 9.9790 0.0000 10.5888
I 2.5630 2.2020 9.1018
I -1.3860 0.0000 8.8821
I 4.9208 2.4356 5.5661
I 9.7906 2.4356 5.3102
I 7.4339 0.0000 1.9816
I 12.1483 2.2020 1.7745
I 2.5630 -2.2020 9.1018
I 7.2774 0.0000 8.8947
I 4.9208 -2.4356 5.5661
I 9.7906 -2.4356 5.3102
I 16.0974 0.0000 1.9942
I 12.1483 -2.2020 1.7745
```

Values from the calculation:
Space group = No. 12
Energy = -3.13 eV/atom
Density = 3.69 g cm⁻³
Total moment = 0.00 μB per cell

How do the records compare in uncorrected formation energy? In the order shown, they have -1.493 -1.159 -1.595 eV per atom.
How do the records compare in V? In the order shown, they have 744.86 153.65 917.86 Å³ per cell.